1.
A geometry-optimized Li3NbO4 structure. Source: Alexandria via LeMat-Bulk, functional PBEsol.

Unit cell a=4.1219 b=4.1219 c=8.3946 alpha=90.00 beta=90.00 gamma=90.00
Closest atoms and distances in Å follow each position.
Space group I4/mmm (No. 139)
Inequivalent atoms, fractional coordinates:
1 Li 0.0000 0.0000 0.0000 [2 per cell]  6 O 2.06-2.26
2 Li 0.0000 0.5000 0.2500 [4 per cell]  6 O 2.07-2.10
3 Nb 0.0000 0.0000 0.5000 [2 per cell]  6 O 1.93-2.06
4 O 0.0000 0.0000 0.2695 [4 per cell]  1 Nb 1.93, 4 Li 2.07
5 O 0.0000 0.5000 0.0000 [4 per cell]  2 Nb 2.06, 4 Li 2.06-2.10

Properties
For the uncorrected formation energy, the calculation gives -2.33 eV per atom. The polymorph energy (0 for the lowest one) comes out at 0.0584 eV/atom.

2.
A geometry-optimized Li2NbP4O13 structure. Source: Alexandria via LeMat-Bulk, functional PBEsol.

Unit cell a=5.2752 b=7.9736 c=13.2807 alpha=73.20 beta=87.15 gamma=79.87
Closest atoms and distances in Å follow each position.
Space group P-1 (No. 2)
Inequivalent atoms, fractional coordinates:
1 Li 0.0039 0.2844 0.0048 [2 per cell]  3 O 1.88-2.01
2 Li 0.4423 0.6833 0.4820 [2 per cell]  3 O 1.85-1.99
3 Nb 0.0339 0.9679 0.2460 [2 per cell]  6 O 1.98-2.13
4 P 0.1477 0.3754 0.1952 [2 per cell]  4 O 1.48-1.61
5 P 0.1634 0.4236 0.6745 [2 per cell]  4 O 1.49-1.59
6 P 0.4147 0.1650 0.8690 [2 per cell]  4 O 1.48-1.63
7 P 0.4801 0.1146 0.3549 [2 per cell]  4 O 1.48-1.65
8 O 0.0137 0.5956 0.7032 [2 per cell]  2 P 1.59-1.61
9 O 0.0237 0.2394 0.1611 [2 per cell]  1 P 1.54
10 O 0.0264 0.7015 0.3231 [2 per cell]  1 P 1.53
11 O 0.1628 0.5426 0.1119 [2 per cell]  1 P 1.48
12 O 0.2306 0.9528 0.6587 [2 per cell]  1 P 1.55
13 O 0.2541 0.0325 0.8513 [2 per cell]  1 P 1.54
14 O 0.2958 0.9034 0.1444 [2 per cell]  1 P 1.55
15 O 0.3020 0.4826 0.5735 [2 per cell]  1 P 1.49
16 O 0.3265 0.9704 0.3465 [2 per cell]  1 P 1.55
17 O 0.3487 0.2198 0.9660 [2 per cell]  1 P 1.48
18 O 0.3671 0.3388 0.7665 [2 per cell]  2 P 1.58-1.63
19 O 0.4188 0.1889 0.4449 [2 per cell]  1 P 1.48
20 O 0.4195 0.2779 0.2453 [2 per cell]  2 P 1.58-1.65

Properties
For the uncorrected formation energy, the calculation gives -2.24 eV per atom.

3.
A geometry-optimized LiNbPO5 structure. Source: Alexandria via LeMat-Bulk, functional PBEsol.

Unit cell a=7.1665 b=7.3841 c=7.9661 alpha=90.06 beta=92.64 gamma=116.38
Closest atoms and distances in Å follow each position.
Space group P-1 (No. 2)
Inequivalent atoms, fractional coordinates:
1 Li 0.1830 0.1806 0.0661 [2 per cell]  5 O 1.98-2.18
2 Li 0.3035 0.7162 0.4316 [2 per cell]  4 O 1.97-2.11
3 Nb 0.2526 0.4994 0.7573 [2 per cell]  6 O 1.95-2.13
4 Nb 0.2530 0.9988 0.7401 [2 per cell]  5 O 1.94-2.11
5 P 0.2263 0.7629 0.1011 [2 per cell]  4 O 1.53-1.56
6 P 0.2761 0.2578 0.3985 [2 per cell]  4 O 1.53-1.55
7 O 0.0691 0.1046 0.3134 [2 per cell]  1 P 1.53
8 O 0.0733 0.6512 0.2391 [2 per cell]  1 P 1.55
9 O 0.1416 0.8850 0.9881 [2 per cell]  1 P 1.56
10 O 0.2337 0.7403 0.6646 [2 per cell]  2 Nb 1.94-1.98, 1 Li 1.97
11 O 0.2511 0.4243 0.4993 [2 per cell]  1 P 1.55
12 O 0.2603 0.6082 0.9928 [2 per cell]  1 P 1.54
13 O 0.2656 0.2541 0.8321 [2 per cell]  2 Nb 1.95-1.98, 1 Li 1.98
14 O 0.3714 0.1508 0.5176 [2 per cell]  1 P 1.55
15 O 0.4191 0.3508 0.2504 [2 per cell]  1 P 1.55
16 O 0.4285 0.9030 0.1990 [2 per cell]  1 P 1.53

Properties
For the uncorrected formation energy, the calculation gives -2.34 eV per atom.

4.
A geometry-optimized LiNb2P3O12 structure. Source: Alexandria via LeMat-Bulk, functional PBEsol.

Unit cell a=8.6802 b=8.7050 c=9.0458 alpha=91.08 beta=118.44 gamma=118.93
Closest atoms and distances in Å follow each position.
Space group P-1 (No. 2)
Inequivalent atoms, fractional coordinates:
1 Li 0.1475 0.1928 0.3929 [2 per cell]  4 O 1.98-2.13
2 Nb 0.2892 0.6434 0.4312 [2 per cell]  6 O 2.00-2.11
3 Nb 0.2982 0.1402 0.9319 [2 per cell]  6 O 2.02-2.11
4 P 0.2123 0.7432 0.7559 [2 per cell]  4 O 1.53-1.55
5 P 0.2215 0.9769 0.2531 [2 per cell]  4 O 1.52-1.56
6 P 0.4875 0.4574 0.7421 [2 per cell]  4 O 1.52-1.56
7 O 0.0090 0.9320 0.2168 [2 per cell]  1 P 1.54
8 O 0.0258 0.5530 0.7194 [2 per cell]  1 P 1.53
9 O 0.1504 0.8847 0.7465 [2 per cell]  1 P 1.55
10 O 0.2309 0.9965 0.0894 [2 per cell]  1 P 1.53
11 O 0.2568 0.8266 0.3085 [2 per cell]  1 P 1.52
12 O 0.2627 0.7378 0.6150 [2 per cell]  1 P 1.54
13 O 0.3268 0.4530 0.5595 [2 per cell]  1 P 1.56
14 O 0.3401 0.5421 0.2681 [2 per cell]  1 P 1.54
15 O 0.3559 0.2751 0.7670 [2 per cell]  1 P 1.54
16 O 0.3836 0.1660 0.4061 [2 per cell]  1 P 1.56
17 O 0.4075 0.3744 0.1055 [2 per cell]  1 P 1.52
18 O 0.4075 0.8046 0.9411 [2 per cell]  1 P 1.53

Properties
For the uncorrected formation energy, the calculation gives -2.31 eV per atom. The polymorph energy (0 for the lowest one) comes out at 0.0085 eV/atom.

5.
A geometry-optimized LiNb2P3O12 structure. Source: Alexandria via LeMat-Bulk, functional PBEsol.

Unit cell a=15.1994 b=8.8256 c=8.7518 alpha=90.00 beta=124.86 gamma=90.00
Closest atoms and distances in Å follow each position.
Space group Cc (No. 9)
Inequivalent atoms, fractional coordinates:
1 Li 0.0000 0.2082 0.0000 [4 per cell]  3 O 2.06-2.17
2 Nb 0.1213 0.2525 0.8092 [4 per cell]  6 O 2.01-2.10
3 Nb 0.3388 0.2485 0.5930 [4 per cell]  6 O 2.00-2.09
4 P 0.0848 0.3933 0.4061 [4 per cell]  4 O 1.53-1.55
5 P 0.2289 0.0421 0.2016 [4 per cell]  4 O 1.53-1.55
6 P 0.3774 0.3962 0.9952 [4 per cell]  4 O 1.53-1.55
7 O 0.0720 0.4335 0.8872 [4 per cell]  1 P 1.54
8 O 0.0755 0.3459 0.5650 [4 per cell]  1 P 1.53
9 O 0.1421 0.1442 0.0412 [4 per cell]  1 P 1.55
10 O 0.1695 0.0590 0.7582 [4 per cell]  1 P 1.54
11 O 0.1933 0.3427 0.4483 [4 per cell]  1 P 1.54
12 O 0.2688 0.3475 0.9540 [4 per cell]  1 P 1.53
13 O 0.2883 0.0557 0.6431 [4 per cell]  1 P 1.53
14 O 0.3124 0.1440 0.3625 [4 per cell]  1 P 1.54
15 O 0.3854 0.3463 0.8350 [4 per cell]  1 P 1.54
16 O 0.3924 0.4295 0.5116 [4 per cell]  1 P 1.55
17 O 0.4664 0.3251 0.1822 [4 per cell]  1 P 1.54
18 O 0.4976 0.1817 0.7191 [4 per cell]  1 P 1.55

Properties
For the uncorrected formation energy, the calculation gives -2.31 eV per atom. The polymorph energy (0 for the lowest one) comes out at 0.0069 eV/atom.

6.
A geometry-optimized LiNb2P3O12 structure. Source: Alexandria via LeMat-Bulk, functional PBEsol.

Unit cell a=8.8037 b=8.8828 c=15.0977 alpha=90.00 beta=125.15 gamma=90.00
Closest atoms and distances in Å follow each position.
Space group P2_1/c (No. 14)
Inequivalent atoms, fractional coordinates:
1 Li 0.0303 0.2288 0.3178 [4 per cell]  4 O 1.94-2.00
2 Nb 0.1410 0.5426 0.3874 [4 per cell]  6 O 2.00-2.10
3 Nb 0.3696 0.5295 0.1195 [4 per cell]  6 O 2.00-2.04
4 P 0.0328 0.0967 0.6447 [4 per cell]  4 O 1.53-1.56
5 P 0.2475 0.6142 0.6462 [4 per cell]  4 O 1.53-1.55
6 P 0.4553 0.2499 0.4930 [4 per cell]  4 O 1.53-1.55
7 O 0.0018 0.2468 0.1771 [4 per cell]  1 P 1.55
8 O 0.0550 0.5233 0.2265 [4 per cell]  1 P 1.56
9 O 0.0857 0.5970 0.6587 [4 per cell]  1 P 1.55
10 O 0.1373 0.5514 0.9670 [4 per cell]  1 P 1.53
11 O 0.1846 0.5648 0.5326 [4 per cell]  1 P 1.53
12 O 0.2094 0.0994 0.6477 [4 per cell]  1 P 1.53
13 O 0.2683 0.1670 0.9180 [4 per cell]  1 P 1.55
14 O 0.3025 0.7183 0.1650 [4 per cell]  1 P 1.54
15 O 0.3848 0.6387 0.4391 [4 per cell]  1 P 1.53
16 O 0.4098 0.5134 0.7295 [4 per cell]  1 P 1.54
17 O 0.4388 0.1516 0.5702 [4 per cell]  1 P 1.53
18 O 0.4871 0.1555 0.4198 [4 per cell]  1 P 1.54

Properties
For the uncorrected formation energy, the calculation gives -2.32 eV per atom. The polymorph energy (0 for the lowest one) comes out at 0.0000 eV/atom.

7.
A geometry-optimized LiNbP4O12 structure. Source: Alexandria via LeMat-Bulk, functional PBEsol.

Unit cell a=11.9235 b=8.4118 c=10.2301 alpha=90.00 beta=118.90 gamma=90.00
Closest atoms and distances in Å follow each position.
Space group C2/c (No. 15)
Inequivalent atoms, fractional coordinates:
1 Li 0.0000 0.0237 0.2500 [4 per cell]  2 O 1.91
2 Nb 0.2500 0.2500 0.5000 [4 per cell]  6 O 2.09-2.19
3 P 0.0126 0.2634 0.9773 [8 per cell]  4 O 1.46-1.63
4 P 0.1906 0.4936 0.1953 [8 per cell]  4 O 1.50-1.60
5 O 0.0343 0.1251 0.9055 [8 per cell]  1 P 1.46
6 O 0.0504 0.2434 0.4245 [8 per cell]  1 P 1.53
7 O 0.0667 0.3992 0.6466 [8 per cell]  2 P 1.59-1.63
8 O 0.1465 0.3541 0.0744 [8 per cell]  2 P 1.60-1.61
9 O 0.2055 0.0843 0.3166 [8 per cell]  1 P 1.51
10 O 0.2249 0.4286 0.3461 [8 per cell]  1 P 1.50

Properties
For the uncorrected formation energy, the calculation gives -2.14 eV per atom. The polymorph energy (0 for the lowest one) comes out at 0.0000 eV/atom.

8.
A geometry-optimized LiNbP4O12 structure. Source: Alexandria via LeMat-Bulk, functional PBEsol.

Unit cell a=17.5863 b=12.4434 c=5.4229 alpha=90.00 beta=103.82 gamma=90.00
Closest atoms and distances in Å follow each position.
Space group C2/m (No. 12)
Inequivalent atoms, fractional coordinates:
1 Li 0.0953 0.0000 0.4881 [4 per cell]  2 O 1.81
2 Nb 0.2500 0.2500 0.0000 [4 per cell]  6 O 2.10-2.18
3 P 0.0782 0.2156 0.1695 [8 per cell]  4 O 1.48-1.61
4 P 0.1827 0.3821 0.4590 [8 per cell]  4 O 1.50-1.60
5 O 0.0000 0.2682 0.0000 [4 per cell]  2 P 1.60
6 O 0.0609 0.1213 0.3126 [8 per cell]  1 P 1.48
7 O 0.1043 0.3156 0.3603 [8 per cell]  2 P 1.59-1.61
8 O 0.1355 0.2029 0.0035 [8 per cell]  1 P 1.51
9 O 0.1492 0.5000 0.3823 [4 per cell]  2 P 1.60
10 O 0.2065 0.3761 0.7445 [8 per cell]  1 P 1.51
11 O 0.2441 0.3542 0.3190 [8 per cell]  1 P 1.50

Properties
For the uncorrected formation energy, the calculation gives -2.12 eV per atom. The polymorph energy (0 for the lowest one) comes out at 0.0205 eV/atom.

9.
A geometry-optimized LiNbSn3P6O24 structure. Source: Alexandria via LeMat-Bulk, functional PBEsol.

Unit cell a=8.5142 b=8.5142 c=22.6192 alpha=90.00 beta=90.00 gamma=120.00
Closest atoms and distances in Å follow each position.
Space group R3 (No. 146, hexagonal axes)
Inequivalent atoms, fractional coordinates:
1 Li 0.0000 0.0000 0.0000 [3 per cell]  3 O 2.10
2 Nb 0.0000 0.0000 0.8349 [3 per cell]  6 O 1.98-1.99
3 Sn 0.0000 0.0000 0.1254 [3 per cell]  6 O 1.99-2.06
4 Sn 0.0000 0.0000 0.3329 [3 per cell]  6 O 2.04-2.05
5 Sn 0.0000 0.0000 0.6254 [3 per cell]  6 O 2.02-2.03
6 P 0.0002 0.7144 0.2298 [9 per cell]  4 O 1.52-1.56
7 P 0.0075 0.2923 0.7261 [9 per cell]  4 O 1.53-1.56
8 O 0.0072 0.1938 0.7841 [9 per cell]  1 P 1.56
9 O 0.0093 0.8048 0.1706 [9 per cell]  1 P 1.53
10 O 0.0189 0.1878 0.0640 [9 per cell]  1 P 1.55
11 O 0.0753 0.2233 0.3843 [9 per cell]  1 P 1.53
12 O 0.0781 0.2261 0.6751 [9 per cell]  1 P 1.53
13 O 0.1579 0.6835 0.5550 [9 per cell]  1 P 1.56
14 O 0.1855 0.7422 0.9472 [9 per cell]  1 P 1.54
15 O 0.1888 0.7424 0.2409 [9 per cell]  1 P 1.52

Properties
For the uncorrected formation energy, the calculation gives -2.15 eV per atom.

10.
A geometry-optimized LiTi3NbP6O24 structure. Source: Alexandria via LeMat-Bulk, functional PBEsol.

Unit cell a=8.6085 b=8.6085 c=21.4516 alpha=90.00 beta=90.00 gamma=120.00
Closest atoms and distances in Å follow each position.
Space group R3 (No. 146, hexagonal axes)
Inequivalent atoms, fractional coordinates:
1 Li 0.0000 0.0000 0.0000 [3 per cell]  3 O 2.08
2 Ti 0.0000 0.0000 0.3779 [3 per cell]  6 O 1.91-1.95
3 Ti 0.0000 0.0000 0.6520 [3 per cell]  6 O 1.91-1.96
4 Ti 0.0000 0.0000 0.8704 [3 per cell]  6 O 1.88-2.00
5 Nb 0.0000 0.0000 0.1570 [3 per cell]  6 O 1.96-1.99
6 P 0.0485 0.3738 0.9356 [9 per cell]  4 O 1.52-1.56
7 P 0.0524 0.6692 0.4298 [9 per cell]  4 O 1.52-1.56
8 O 0.0200 0.1826 0.9327 [9 per cell]  1 P 1.54
9 O 0.0266 0.8312 0.7059 [9 per cell]  1 P 1.52
10 O 0.0420 0.8409 0.4279 [9 per cell]  1 P 1.52
11 O 0.1460 0.4783 0.8753 [9 per cell]  1 P 1.56
12 O 0.1517 0.6721 0.4900 [9 per cell]  1 P 1.54
13 O 0.1592 0.6826 0.7666 [9 per cell]  1 P 1.56
14 O 0.1655 0.4686 0.9919 [9 per cell]  1 P 1.52
15 O 0.1657 0.4664 0.2702 [9 per cell]  1 P 1.53

Properties
For the uncorrected formation energy, the calculation gives -2.52 eV per atom.